Record 1
Material: Ba8MgAu4
Method: DFT, GGA-PBE
State: relaxed

abc: 4.8720 11.7135 10.6949
angles: 88.71 76.83 78.00
Last column: nearest neighbours and their distance in Å.
Fractional coordinates of all 13 atoms:
Ba  0.1656  0.3136  0.3552  3 Au 3.27-3.61
Ba  0.5883  0.6069  0.2165  4 Au 3.33-3.56
Ba  0.4430  0.3966  0.7174  4 Au 3.33-3.56
Ba  0.8659  0.6896  0.5786  3 Au 3.27-3.61
Ba  0.8787  0.9632  0.2794  3 Au 3.32-3.34
Ba  0.1697  0.7415  0.9191  3 Au 3.36-3.53
Ba  0.1527  0.0402  0.6543  3 Au 3.32-3.34
Ba  0.8616  0.2622  0.0146  3 Au 3.36-3.53
Mg  0.5162  0.0011  0.9666  8 Ba 3.87-4.10
Au  0.3703  0.8251  0.4343  6 Ba 3.27-3.34
Au  0.7893  0.5414  0.8801  2 Au 3.18, 5 Ba 3.36-3.53
Au  0.2420  0.4623  0.0536  2 Au 3.18, 5 Ba 3.36-3.53
Au  0.6610  0.1783  0.4996  6 Ba 3.27-3.34

## Properties
Calculated density = 5.5 Mg/m³
Energy = -2.76 eV per atom
ΔH_f (0 K) = -0.4435 eV/atom
Space group = No. 8

***

Record 2
Material: BeIn2P
Method: DFT, GGA-PBE
State: relaxed

abc: 3.2375 3.2375 7.4778
angles: 90.00 90.00 100.50
Last column: nearest neighbours and their distance in Å.
Fractional coordinates of all 4 atoms:
P  0.5000  0.5000  0.2500  8 In 2.86-3.18
Be  0.5000  0.5000  0.7500  4 In 2.72
In  0.0000  0.0000  0.9853  2 Be 2.72, 2 P 2.86
In  0.0000  0.0000  0.5147  2 Be 2.72, 2 P 2.86

## Properties
Calculated density = 5.8 Mg/m³
Energy = -3.11 eV per atom
Energy above the most stable polymorph in this dataset = 434.1 meV/atom
ΔH_f (0 K) = 0.5387 eV/atom
Space group = No. 65

***

Record 3
Material: Fe4ReOs
Method: DFT, GGA-PBE
State: relaxed

abc: 4.6568 4.6568 4.6568
angles: 60.00 60.00 60.00
Last column: nearest neighbours and their distance in Å.
Fractional coordinates of all 6 atoms:
Fe  0.1264  0.6245  0.6245  6 Fe 2.32-2.34
Fe  0.6245  0.6245  0.6245  6 Fe 2.32-2.34
Fe  0.6245  0.1264  0.6245  6 Fe 2.32-2.34
Fe  0.6245  0.6245  0.1264  6 Fe 2.32-2.34
Os  0.2500  0.2500  0.2500  12 Fe 2.73, 4 Re 2.85
Re  0.0000  0.0000  0.0000  12 Fe 2.73, 4 Os 2.85

## Properties
Calculated density = 13.9 Mg/m³
Energy = -9.55 eV per atom
ΔH_f (0 K) = 0.0334 eV/atom
Space group = No. 216

***

Record 4
Material: CdNi2Te
Method: DFT, GGA-PBE
State: relaxed

abc: 4.2555 4.2555 6.2802
angles: 97.15 97.15 47.33
Last column: nearest neighbours and their distance in Å.
Fractional coordinates of all 4 atoms:
Cd  0.6547  0.6547  0.8502  5 Ni 2.66-2.85
Ni  0.9686  0.9686  0.0782  3 Ni 2.44-2.45, 2 Te 2.61, 1 Cd 2.66
Ni  0.2786  0.2786  0.2014  3 Ni 2.44-2.45, 3 Te 2.54-2.57
Te  0.5980  0.5980  0.3702  5 Ni 2.54-2.61

## Properties
Calculated density = 7.2 Mg/m³
Formation energy (no corrections) = 0.075 eV per atom
Energy = -3.83 eV per atom
Energy above the most stable polymorph in this dataset = 26.1 meV/atom
Space group = No. 8

***

Record 5
Material: CuNi3Ge
Method: DFT, GGA-PBE
State: relaxed

abc: 4.2771 4.2771 4.2771
angles: 90.00 90.00 90.00
Last column: nearest neighbours and their distance in Å.
Fractional coordinates of all 5 atoms:
Ni  0.0000  0.5000  0.0000  2 Cu 2.14
Ni  0.0000  0.0000  0.5000  2 Cu 2.14
Ni  0.5000  0.0000  0.0000  2 Cu 2.14
Ge  0.5000  0.5000  0.5000  12 Ni 3.02
Cu  0.0000  0.0000  0.0000  6 Ni 2.14

## Properties
Calculated density = 6.6 Mg/m³
Energy = -4.27 eV per atom
Energy above the most stable polymorph in this dataset = 1105.8 meV/atom
ΔH_f (0 K) = 0.9424 eV/atom
Space group = No. 221

***

Record 6
Material: NaPrCl2
Method: DFT, GGA-PBE
State: relaxed

abc: 4.0139 4.0139 8.9639
angles: 77.06 77.06 60.00
Last column: nearest neighbours and their distance in Å.
Fractional coordinates of all 4 atoms:
Pr  0.0000  0.0000  0.0000  2 Cl 2.75
Na  0.5000  0.5000  0.5000  6 Cl 2.80
Cl  0.1059  0.1059  0.6823  1 Pr 2.75, 3 Na 2.80
Cl  0.8941  0.8941  0.3177  1 Pr 2.75, 3 Na 2.80

## Properties
Calculated density = 3.2 Mg/m³
Formation energy (no corrections) = -1.502 eV per atom
Energy = -3.95 eV per atom
Space group = No. 166

***

Record 7
Material: TiNb2C3
Method: DFT, GGA-PBE
State: relaxed

abc: 5.4525 5.4525 5.4492
angles: 99.53 99.53 119.95
Last column: nearest neighbours and their distance in Å.
Fractional coordinates of all 12 atoms:
Ti  0.0003  0.9997  0.0000  6 C 2.20-2.21
Ti  0.6664  0.3336  0.0000  6 C 2.20-2.21
Nb  0.8333  0.1667  0.5000  6 C 2.22-2.25
Nb  0.3333  0.6667  0.0000  6 C 2.23
Nb  0.1649  0.8351  0.5000  6 C 2.21-2.26
Nb  0.5017  0.4983  0.5000  6 C 2.21-2.26
C  0.5893  0.9227  0.7544  2 Ti 2.21, 4 Nb 2.22-2.26
C  0.0773  0.4107  0.2456  2 Ti 2.21, 4 Nb 2.22-2.26
C  0.9138  0.5851  0.7555  2 Ti 2.20, 4 Nb 2.21-2.25
C  0.2518  0.2471  0.7555  2 Ti 2.20, 4 Nb 2.21-2.25
C  0.4149  0.0862  0.2445  2 Ti 2.20, 4 Nb 2.21-2.25
C  0.7529  0.7482  0.2445  2 Ti 2.20, 4 Nb 2.21-2.25

## Properties
Calculated density = 6.8 Mg/m³
Energy = -9.90 eV per atom
Energy above the most stable polymorph in this dataset = 0.0 meV/atom
ΔH_f (0 K) = -0.6161 eV/atom
Space group = No. 12

***

Record 8
Material: Ho5Pt4O
Method: DFT, GGA-PBE
State: relaxed

abc: 5.4346 6.7765 6.7765
angles: 80.75 66.36 66.36
Last column: nearest neighbours and their distance in Å.
Fractional coordinates of all 10 atoms:
Ho  0.8755  0.3731  0.8739  1 O 2.46
Ho  0.2486  0.8739  0.6269  1 O 2.46
Ho  0.7494  0.1261  0.3731  1 O 2.46
Ho  0.1225  0.6269  0.1261  1 O 2.46
Ho  0.4724  0.0000  0.0000  1 O 2.34
Pt  0.4299  0.4071  0.7326  6 Ho 2.80-3.03, 1 Pt 3.11
Pt  0.8371  0.7326  0.5929  6 Ho 2.80-3.03, 1 Pt 3.11
Pt  0.1626  0.2674  0.4071  6 Ho 2.80-3.03, 1 Pt 3.11
Pt  0.5697  0.5929  0.2674  6 Ho 2.80-3.03, 1 Pt 3.11
O  0.0427  0.0000  0.0000  5 Ho 2.34-2.46

## Properties
Calculated density = 12.9 Mg/m³
Formation energy (no corrections) = -1.485 eV per atom
Energy = -6.69 eV per atom
Space group = No. 79

***

Record 9
Material: Ca2MoRu
Method: DFT, GGA-PBE
State: relaxed

abc: 4.0192 4.0192 4.9361
angles: 90.00 90.00 90.00
Last column: nearest neighbours and their distance in Å.
Fractional coordinates of all 4 atoms:
Ru  0.0000  0.5000  0.5000  4 Mo 2.84, 8 Ca 3.18
Mo  0.5000  0.0000  0.5000  4 Ru 2.84, 8 Ca 3.18
Ca  0.0000  0.0000  0.0000  4 Ca 2.84, 4 Ru 3.18, 4 Mo 3.18
Ca  0.5000  0.5000  0.0000  4 Ca 2.84, 4 Mo 3.18, 4 Ru 3.18

## Properties
Calculated density = 5.8 Mg/m³
Energy = -5.31 eV per atom
Energy above the most stable polymorph in this dataset = 493.7 meV/atom
ΔH_f (0 K) = 0.7166 eV/atom
Space group = No. 123

***

Record 10
Material: BaSr2Ca
Method: DFT, GGA-PBE
State: relaxed

abc: 6.6903 6.6903 6.6903
angles: 60.00 60.00 60.00
Last column: nearest neighbours and their distance in Å.
Fractional coordinates of all 4 atoms:
Sr  0.0000  0.0000  0.0000  4 Ca 4.10, 4 Sr 4.10
Sr  0.2500  0.2500  0.2500  4 Sr 4.10, 4 Ba 4.10
Ca  0.7500  0.7500  0.7500  4 Ba 4.10, 4 Sr 4.10
Ba  0.5000  0.5000  0.5000  4 Sr 4.10, 4 Ca 4.10

## Properties
Calculated density = 2.8 Mg/m³
Energy = -1.80 eV per atom
Energy above the most stable polymorph in this dataset = 6.2 meV/atom
ΔH_f (0 K) = 0.0227 eV/atom
Space group = No. 216

***

Record 11
Material: La8Tb2Pm3
Method: DFT, GGA-PBE
State: relaxed

abc: 6.2706 9.0366 9.0366
angles: 82.12 72.56 72.56
Last column: nearest neighbours and their distance in Å.
Fractional coordinates of all 13 atoms:
La  0.2117  0.5464  0.5464  2 Tb 3.18-3.36, 4 La 3.32-3.52, 2 Pm 3.43
La  0.7883  0.4536  0.4536  2 Tb 3.18-3.36, 4 La 3.32-3.52, 2 Pm 3.43
La  0.9292  0.1395  0.1395  3 Pm 3.32-3.44, 1 La 3.55, 2 Tb 3.57-3.68
La  0.0708  0.8605  0.8605  3 Pm 3.32-3.44, 1 La 3.55, 2 Tb 3.57-3.68
La  0.6636  0.5651  0.0936  2 Tb 3.48-3.75, 3 La 3.52-3.72, 3 Pm 3.71-3.88
La  0.6636  0.0936  0.5651  2 Tb 3.48-3.75, 3 La 3.52-3.72, 3 Pm 3.71-3.88
La  0.3364  0.9064  0.4349  2 Tb 3.48-3.75, 3 La 3.52-3.72, 3 Pm 3.71-3.88
La  0.3364  0.4349  0.9064  2 Tb 3.48-3.75, 3 La 3.52-3.72, 3 Pm 3.71-3.88
Tb  0.3134  0.2854  0.2854  4 La 3.18-3.48
Tb  0.6866  0.7146  0.7146  4 La 3.18-3.48
Pm  0.5000  0.0000  0.0000  2 La 3.32, 2 Tb 3.59
Pm  0.0000  0.2484  0.7516  6 La 3.43-3.71
Pm  0.0000  0.7516  0.2484  6 La 3.43-3.71

## Properties
Calculated density = 6.7 Mg/m³
Energy = -4.70 eV per atom
Energy above the most stable polymorph in this dataset = 0.0 meV/atom
ΔH_f (0 K) = 0.1434 eV/atom
Space group = No. 12

***

Record 12
Material: ScTcP2
Method: DFT, GGA-PBE
State: relaxed

abc: 4.7075 4.7075 4.5252
angles: 77.69 77.69 39.15
Last column: nearest neighbours and their distance in Å.
Fractional coordinates of all 4 atoms:
P  0.0110  0.0110  0.9443  3 Tc 2.48-2.59, 4 Sc 2.75-2.76
P  0.2514  0.2514  0.2533  2 Tc 2.42, 3 Sc 2.59-2.67
Sc  0.5055  0.5055  0.4455  7 P 2.59-2.76
Tc  0.7321  0.7321  0.8569  5 P 2.42-2.59

## Properties
Calculated density = 5.5 Mg/m³
Energy = -7.50 eV per atom
Energy above the most stable polymorph in this dataset = 221.8 meV/atom
ΔH_f (0 K) = -0.6227 eV/atom
Space group = No. 8

***

What did the first record say?
Material: Ba8MgAu4
Method: DFT, GGA-PBE
State: relaxed

abc: 4.8720 11.7135 10.6949
angles: 88.71 76.83 78.00
Last column: nearest neighbours and their distance in Å.
Fractional coordinates of all 13 atoms:
Ba  0.1656  0.3136  0.3552  3 Au 3.27-3.61
Ba  0.5883  0.6069  0.2165  4 Au 3.33-3.56
Ba  0.4430  0.3966  0.7174  4 Au 3.33-3.56
Ba  0.8659  0.6896  0.5786  3 Au 3.27-3.61
Ba  0.8787  0.9632  0.2794  3 Au 3.32-3.34
Ba  0.1697  0.7415  0.9191  3 Au 3.36-3.53
Ba  0.1527  0.0402  0.6543  3 Au 3.32-3.34
Ba  0.8616  0.2622  0.0146  3 Au 3.36-3.53
Mg  0.5162  0.0011  0.9666  8 Ba 3.87-4.10
Au  0.3703  0.8251  0.4343  6 Ba 3.27-3.34
Au  0.7893  0.5414  0.8801  2 Au 3.18, 5 Ba 3.36-3.53
Au  0.2420  0.4623  0.0536  2 Au 3.18, 5 Ba 3.36-3.53
Au  0.6610  0.1783  0.4996  6 Ba 3.27-3.34

## Properties
Calculated density = 5.5 Mg/m³
Energy = -2.76 eV per atom
ΔH_f (0 K) = -0.4435 eV/atom
Space group = No. 8

***

Question: What is the energy in the fourth record?
Answer: -3.83 eV per atom